(1)
The following is a DFT calculation (GGA-PBE) of crystalline MnFeSb2 at its relaxed geometry.

Lattice parameters (Å, degrees): 4.503 4.503 4.503 60.00 60.00 60.00
Fractional coordinates of all 4 atoms:
Mn  0.000  0.000  0.000
Fe  0.500  0.500  0.500
Sb  0.250  0.250  0.250
Sb  0.750  0.750  0.750

ΔE to the lowest computed polymorph in meV/atom: 332
Magnetic moment in Bohr magnetons per cell: 1.166
Crystal system: cubic
Space-group type: Fm-3m
Formation energy (no corrections) in meV per atom: 423

(2)
The following is a DFT calculation (GGA-PBE) of crystalline MnFeSb2 at its relaxed geometry.

Lattice parameters (Å, degrees): 4.147 5.213 5.213 39.97 90.00 90.00
Fractional coordinates of all 4 atoms:
Mn  0.000  0.000  0.000
Fe  0.500  0.855  0.855
Sb  0.000  0.285  0.285
Sb  0.500  0.568  0.568

ΔE to the lowest computed polymorph in meV/atom: 0
Magnetic moment in Bohr magnetons per cell: 4.753
Crystal system: orthorhombic
Space-group type: Amm2
Formation energy (no corrections) in meV per atom: 91

(3)
The following is a DFT calculation (GGA-PBE) of crystalline MnFeSb2 at its relaxed geometry.

Lattice parameters (Å, degrees): 4.780 4.780 4.780 60.00 60.00 60.00
Fractional coordinates of all 4 atoms:
Mn  0.000  0.000  0.000
Fe  0.750  0.750  0.750
Sb  0.250  0.250  0.250
Sb  0.500  0.500  0.500

ΔE to the lowest computed polymorph in meV/atom: 511
Magnetic moment in Bohr magnetons per cell: 5.633
Crystal system: cubic
Space-group type: F-43m
Formation energy (no corrections) in meV per atom: 603

no.,DOS at the Fermi energy (states/eV/f.u.)
1,5.5
2,2.3
3,3.9